Compound: Sc2CrF
Source: Alexandria via LeMat-Bulk
Functional: GGA+U
Structure: optimized geometry

Geometry as POSCAR:
```
Sc2CrF
1.0
-2.809 1.692 5.808
-3.863 -5.430 -0.287
-0.869 -3.716 4.492
Sc Cr F
4 2 2
Cartesian
-6.110 -5.522 8.229 Sc
-2.179 -0.717 4.145 Sc
-3.260 -3.944 2.242 Sc
-3.535 -4.724 5.411 Sc
-3.507 -1.946 6.530 Cr
0.000 0.000 0.000 Cr
-3.336 -1.869 2.761 F
-4.034 -5.507 3.483 F
```

- electronic total energy (eV/atom) = -6.347
- DOS(E_F) (states/eV/cell) = 5.5
- crystal system = tetragonal
- M_tot (μB per formula unit) = 3.20
- excess energy over the best structure of this formula in the dataset (eV per atom) = 0.056
- calculated density (g/cm3) = 3.4
- space-group type = I-42d, No. 122